Model i:
Computed, not measured: an optimized crystal structure of SiAsIr2 at the GGA-PBE level of DFT.

Unit cell a=2.884 b=4.699 c=9.131 alpha=90.00 beta=90.00 gamma=90.00
Space group Immm (No. 71)
Inequivalent atoms, fractional coordinates:
Si 0.000 0.000 0.000 (multiplicity 2)
As 0.000 0.000 0.500 (multiplicity 2)
Ir 0.000 0.500 0.294 (multiplicity 4)


Model ii:
Computed, not measured: an optimized crystal structure of SiAsIr2 at the GGA-PBE level of DFT.

Unit cell a=2.914 b=2.914 c=6.946 alpha=90.00 beta=90.00 gamma=90.00
Space group P4/mmm (No. 123)
Inequivalent atoms, fractional coordinates:
Si 0.000 0.000 0.000 (multiplicity 1)
As 0.000 0.000 0.500 (multiplicity 1)
Ir 0.500 0.500 0.207 (multiplicity 2)


Model iii:
Computed, not measured: an optimized crystal structure of SiAsIr2 at the GGA-PBE level of DFT.

Unit cell a=6.256 b=6.256 c=6.256 alpha=90.00 beta=90.00 gamma=90.00
Space group F-43m (No. 216)
Inequivalent atoms, fractional coordinates:
Si 0.000 0.000 0.000 (multiplicity 4)
As 0.250 0.250 0.250 (multiplicity 4)
Ir 0.000 0.000 0.500 (multiplicity 4)
Ir 0.250 0.250 0.750 (multiplicity 4)


Model iv:
Computed, not measured: an optimized crystal structure of SiAsIr2 at the GGA-PBE level of DFT.

Unit cell a=5.674 b=8.486 c=2.894 alpha=90.00 beta=119.15 gamma=90.00
Space group C2/m (No. 12)
Inequivalent atoms, fractional coordinates:
Si 0.000 0.000 0.000 (multiplicity 2)
As 0.000 0.500 0.000 (multiplicity 2)
Ir 0.250 0.250 0.000 (multiplicity 4)


Stability ranking, top and bottom: model ii is the most stable and model iii is the least stable.


Model i:
Computed, not measured: an optimized crystal structure of SiAsIr2 at the GGA-PBE level of DFT.

Unit cell a=2.881 b=2.881 c=7.746 alpha=90.00 beta=90.00 gamma=90.00
Space group P4mm (No. 99)
Inequivalent atoms, fractional coordinates:
Si 0.000 0.000 0.000 (multiplicity 1)
As 0.500 0.500 0.343 (multiplicity 1)
Ir 0.000 0.000 0.544 (multiplicity 1)
Ir 0.500 0.500 0.815 (multiplicity 1)


Model ii:
Computed, not measured: an optimized crystal structure of SiAsIr2 at the GGA-PBE level of DFT.

Unit cell a=2.9109 b=2.9109 c=23.9039 alpha=90.00 beta=90.00 gamma=120.00
Space group R-3m (No. 166, hexagonal axes)
Inequivalent atoms, fractional coordinates:
Si 0.0000 0.0000 0.0000 (multiplicity 3)
As 0.0000 0.0000 0.5000 (multiplicity 3)
Ir 0.0000 0.0000 0.2564 (multiplicity 6)


Model iii:
Computed, not measured: an optimized crystal structure of SiAsIr2 at the GGA-PBE level of DFT.

Unit cell a=2.785 b=4.853 c=9.793 alpha=90.00 beta=90.00 gamma=90.00
Space group Cmm2 (No. 35)
Inequivalent atoms, fractional coordinates:
Si 0.000 0.000 0.000 (multiplicity 2)
As 0.000 0.500 0.331 (multiplicity 2)
Ir 0.000 0.000 0.550 (multiplicity 2)
Ir 0.000 0.500 0.796 (multiplicity 2)


Model iv:
Computed, not measured: an optimized crystal structure of SiAsIr2 at the GGA-PBE level of DFT.

Unit cell a=4.132 b=4.132 c=6.817 alpha=90.00 beta=90.00 gamma=90.00
Space group I4/mmm (No. 139)
Inequivalent atoms, fractional coordinates:
Si 0.000 0.000 0.000 (multiplicity 2)
As 0.000 0.000 0.500 (multiplicity 2)
Ir 0.000 0.500 0.250 (multiplicity 4)


Stability ranking, top and bottom: model ii is the most stable and model iii is the least stable.


Model i:
Computed, not measured: an optimized crystal structure of SiAsIr at the GGA-PBE level of DFT.

Unit cell a=3.2234 b=3.2234 c=5.3262 alpha=90.00 beta=90.00 gamma=120.00
Space group P3m1 (No. 156)
Inequivalent atoms, fractional coordinates:
Si 0.0000 0.0000 0.0000 (multiplicity 1)
As 0.6667 0.3333 0.3565 (multiplicity 1)
Ir 0.3333 0.6667 0.7038 (multiplicity 1)


Model ii:
Computed, not measured: an optimized crystal structure of SiAsIr at the GGA-PBE level of DFT.

Unit cell a=4.4703 b=4.4703 c=2.7703 alpha=90.00 beta=90.00 gamma=120.00
Space group P3m1 (No. 156)
Inequivalent atoms, fractional coordinates:
Si 0.0000 0.0000 0.0000 (multiplicity 1)
As 0.6667 0.3333 0.8510 (multiplicity 1)
Ir 0.3333 0.6667 0.9287 (multiplicity 1)


Stability ranking, top and bottom: model i is the most stable and model ii is the least stable.


Model i:
Computed, not measured: an optimized crystal structure of SiAs3Ir at the GGA-PBE level of DFT.

Unit cell a=4.591 b=4.591 c=4.591 alpha=90.00 beta=90.00 gamma=90.00
Space group Pm-3m (No. 221)
Inequivalent atoms, fractional coordinates:
Si 0.000 0.000 0.000 (multiplicity 1)
As 0.000 0.000 0.500 (multiplicity 3)
Ir 0.500 0.500 0.500 (multiplicity 1)


Model ii:
Computed, not measured: an optimized crystal structure of SiAs3Ir at the GGA-PBE level of DFT.

Unit cell a=4.846 b=4.846 c=4.846 alpha=90.00 beta=90.00 gamma=90.00
Space group Pm-3m (No. 221)
Inequivalent atoms, fractional coordinates:
Si 0.000 0.000 0.000 (multiplicity 1)
As 0.000 0.500 0.500 (multiplicity 3)
Ir 0.500 0.500 0.500 (multiplicity 1)


Stability ranking, top and bottom: model ii is the most stable and model i is the least stable.